#a
The following is a DFT calculation (GGA-PBE) of a geometry-optimized TlAu5 structure.

**Calculated density**: 17.0 g/cm³
**DOS at the Fermi energy**: 1.47 states/eV/f.u.

Cell: 4.2656 12.9362 4.1996 Å, 90.00 90.00 90.00°
With the nearest neighbours (Å) after each atom.
Space group Cmmm (No. 65)
One atom of each set of equivalent atoms:
Tl (0.0000, 0.0000, 0.0000) x2  12 Au 2.99-3.07
Au (0.0000, 0.1736, 0.5000) x4  10 Au 2.91-3.10, 2 Tl 3.07
Au (0.0000, 0.3322, 0.0000) x4  10 Au 2.93-3.02, 2 Tl 3.04
Au (0.0000, 0.5000, 0.5000) x2  4 Tl 2.99, 8 Au 3.02-3.10

#b
The following is a DFT calculation (GGA-PBE) of a geometry-optimized TlAu5 structure.

**Calculated density**: 15.8 g/cm³
**DOS at the Fermi energy**: 1.76 states/eV/f.u.

Cell: 7.9295 7.9295 7.9295 Å, 90.00 90.00 90.00°
With the nearest neighbours (Å) after each atom.
Space group F-43m (No. 216)
One atom of each set of equivalent atoms:
Tl (0.0000, 0.0000, 0.0000) x4  16 Au 3.29-3.43
Au (0.1247, 0.1247, 0.3753) x16  6 Au 2.80-2.81
Au (0.2500, 0.2500, 0.7500) x4  12 Au 3.29, 4 Tl 3.43

Energy relative to the most stable one, in meV/atom: #a 7; #b 0

#a
The following is a DFT calculation (GGA-PBE) of a geometry-optimized Tl3Au structure.

**Calculated density**: 11.6 g/cm³
**DOS at the Fermi energy**: 1.46 states/eV/f.u.

Cell: 6.6951 17.1932 4.0345 Å, 90.00 90.00 90.00°
With the nearest neighbours (Å) after each atom.
Space group Cmcm (No. 63)
One atom of each set of equivalent atoms:
Tl (0.0000, 0.2128, 0.2500) x4  2 Au 2.94
Tl (0.2460, 0.0770, 0.7500) x8  2 Au 3.02, 3 Tl 3.29-3.33
Au (0.0000, 0.3376, 0.7500) x4  6 Tl 2.94-3.02

#b
The following is a DFT calculation (GGA-PBE) of a geometry-optimized Tl3Au structure.

**Calculated density**: 12.2 g/cm³
**DOS at the Fermi energy**: 1.33 states/eV/f.u.

Cell: 6.0470 6.0470 6.0470 Å, 90.00 90.00 90.00°
With the nearest neighbours (Å) after each atom.
Space group Pm-3n (No. 223)
One atom of each set of equivalent atoms:
Tl (0.0000, 0.2500, 0.5000) x6  2 Tl 3.02, 4 Au 3.38
Au (0.0000, 0.0000, 0.0000) x2  12 Tl 3.38

Energy relative to the most stable one, in meV/atom: #a 0; #b 58